Record 1
# Pr8Mg2Rh

Crystalline Pr8Mg2Rh at its relaxed geometry (PBE-GGA, the Alexandria database).

Formation enthalpy at 0 K, eV per atom: -0.107
E_tot, eV/atom: -4.541

Cell lengths 5.727, 7.227, 9.457 Å; angles 109.33, 107.63, 90.00 degrees
Atoms (fractional coordinates):
Pr: 0.646 0.927 0.293
Pr: 0.197 0.253 0.393
Pr: 0.354 0.073 0.707
Pr: 0.803 0.747 0.607
Pr: 0.401 0.594 0.803
Pr: 0.987 0.222 0.973
Pr: 0.013 0.778 0.027
Pr: 0.599 0.406 0.197
Mg: 0.817 0.307 0.633
Mg: 0.183 0.693 0.367
Rh: 0.500 0.000 0.000


Record 2
# Pr2Mg3Rh2

Crystalline Pr2Mg3Rh2 at its relaxed geometry (PBE-GGA, the Alexandria database).

Formation enthalpy at 0 K, eV per atom: -0.446
E_tot, eV/atom: -4.595

Cell lengths 4.286, 5.656, 7.272 Å; angles 97.45, 90.00, 112.26 degrees
Atoms (fractional coordinates):
Mg: 0.317 0.634 0.133
Mg: 0.000 0.000 0.000
Mg: 0.683 0.366 0.867
Pr: 0.625 0.251 0.364
Pr: 0.375 0.749 0.636
Rh: 0.094 0.189 0.661
Rh: 0.906 0.811 0.339


Record 3
# Pr4MgRh

Crystalline Pr4MgRh at its relaxed geometry (PBE-GGA, the Alexandria database).

Formation enthalpy at 0 K, eV per atom: -0.331
E_tot, eV/atom: -5.008

Cell lengths 10.087, 10.087, 10.087 Å; angles 60.00, 60.00, 60.00 degrees
Atoms (fractional coordinates):
Pr: 0.563 0.937 0.937
Pr: 0.958 0.347 0.347
Pr: 0.188 0.188 0.812
Pr: 0.188 0.812 0.188
Pr: 0.347 0.347 0.958
Pr: 0.812 0.188 0.188
Pr: 0.563 0.937 0.563
Pr: 0.563 0.563 0.937
Pr: 0.937 0.563 0.937
Pr: 0.812 0.188 0.812
Pr: 0.937 0.563 0.563
Pr: 0.937 0.937 0.563
Pr: 0.347 0.347 0.347
Pr: 0.347 0.958 0.347
Pr: 0.188 0.812 0.812
Pr: 0.812 0.812 0.188
Rh: 0.142 0.142 0.574
Rh: 0.574 0.142 0.142
Rh: 0.142 0.574 0.142
Rh: 0.142 0.142 0.142
Mg: 0.263 0.579 0.579
Mg: 0.579 0.579 0.579
Mg: 0.579 0.579 0.263
Mg: 0.579 0.263 0.579


Record 4
# Pr3Mg2Rh3

Crystalline Pr3Mg2Rh3 at its relaxed geometry (PBE-GGA, the Alexandria database).

Formation enthalpy at 0 K, eV per atom: -0.544
E_tot, eV/atom: -5.492

Cell lengths 5.919, 8.416, 8.416 Å; angles 120.00, 90.00, 90.00 degrees
Atoms (fractional coordinates):
Mg: 0.000 0.667 0.333
Mg: 0.500 0.667 0.333
Mg: 0.500 0.333 0.667
Mg: 0.000 0.333 0.667
Pr: 0.250 0.731 0.000
Pr: 0.750 0.000 0.269
Pr: 0.250 0.000 0.731
Pr: 0.750 0.731 0.731
Pr: 0.750 0.269 0.000
Pr: 0.250 0.269 0.269
Rh: 0.250 0.605 0.605
Rh: 0.750 0.000 0.605
Rh: 0.250 0.000 0.395
Rh: 0.750 0.395 0.395
Rh: 0.250 0.395 0.000
Rh: 0.750 0.605 0.000


Values of DOS at the Fermi energy, in order: 12.88; 5.26; 18.34; 9.59, all in states/eV/cell.